Entry 1:
# SrAcAsPt

An optimized crystal structure of SrAcAsPt (GGA-PBE, Alexandria via LeMat-Bulk).

Properties
Formation energy = -1024 meV per atom
Calculated total energy = -20.58 eV for the cell shown

Unit cell a=5.3633 b=5.3633 c=5.3633 alpha=60.00 beta=60.00 gamma=60.00
Fractional positions:
Sr: 0.0000 0.0000 0.0000
Ac: 0.5000 0.5000 0.5000
As: 0.7500 0.7500 0.7500
Pt: 0.2500 0.2500 0.2500

***

Entry 2:
# Ca7Cd2Au2

An optimized crystal structure of Ca7Cd2Au2 (GGA-PBE, Alexandria via LeMat-Bulk).

Properties
Formation energy = -363 meV per atom
Calculated total energy = -26.38 eV for the cell shown

Unit cell a=7.1812 b=7.1812 c=7.4082 alpha=90.00 beta=90.00 gamma=106.50
Fractional positions:
Ca: 0.0000 0.0000 0.0000
Ca: 0.0000 0.5000 0.2633
Ca: 0.0000 0.5000 0.7367
Ca: 0.5000 0.0000 0.2633
Ca: 0.5000 0.0000 0.7367
Ca: 0.5000 0.5000 0.2495
Ca: 0.5000 0.5000 0.7505
Cd: 0.1708 0.1708 0.5000
Cd: 0.8292 0.8292 0.5000
Au: 0.2870 0.7130 0.0000
Au: 0.7130 0.2870 0.0000

***

Entry 3:
# U2Al3Sn3

An optimized crystal structure of U2Al3Sn3 (GGA-PBE, Alexandria via LeMat-Bulk).

Properties
Formation energy = -124 meV per atom
Calculated total energy = -46.80 eV for the cell shown

Unit cell a=4.4190 b=4.4577 c=8.8942 alpha=90.00 beta=90.00 gamma=90.00
Fractional positions:
U: 0.0000 0.0000 0.2467
U: 0.0000 0.0000 0.7533
Al: 0.5000 0.0000 0.0000
Al: 0.5000 0.5000 0.2355
Al: 0.5000 0.5000 0.7645
Sn: 0.0000 0.5000 0.0000
Sn: 0.0000 0.5000 0.5000
Sn: 0.5000 0.0000 0.5000

***

Entry 4:
# TiHg12F7

An optimized crystal structure of TiHg12F7 (GGA-PBE, Alexandria via LeMat-Bulk).

Properties
Calculated total energy = -48.15 eV for the cell shown

Unit cell a=8.6180 b=8.6180 c=8.6180 alpha=111.48 beta=111.48 gamma=111.48
Fractional positions:
Ti: 0.0000 0.0000 0.0000
Hg: 0.1045 0.8943 0.4999
Hg: 0.1057 0.5001 0.8955
Hg: 0.1934 0.5147 0.5156
Hg: 0.4844 0.8066 0.4853
Hg: 0.4853 0.4844 0.8066
Hg: 0.4999 0.1045 0.8943
Hg: 0.5001 0.8955 0.1057
Hg: 0.5147 0.5156 0.1934
Hg: 0.5156 0.1934 0.5147
Hg: 0.8066 0.4853 0.4844
Hg: 0.8943 0.4999 0.1045
Hg: 0.8955 0.1057 0.5001
F: 0.0772 0.2670 0.0785
F: 0.0785 0.0772 0.2670
F: 0.2670 0.0785 0.0772
F: 0.5000 0.5000 0.5000
F: 0.7330 0.9215 0.9228
F: 0.9215 0.9228 0.7330
F: 0.9228 0.7330 0.9215